# 1
Entry from Alexandria via LeMat-Bulk: an optimized crystal structure of PrTmSc4 (PBE-GGA).

Cell: 9.8326 9.8326 5.3389 Å, 90.00 90.00 141.03°
With the nearest neighbours (Å) after each atom.
Positions (direct):
Pr: 0.1227 0.8773 0.7500  2 Tm 3.28, 12 Sc 3.49-3.52
Pr: 0.8773 0.1227 0.2500  2 Tm 3.28, 12 Sc 3.49-3.52
Tm: 0.3730 0.6270 0.2500  2 Pr 3.28, 12 Sc 3.47-3.51
Tm: 0.6270 0.3730 0.7500  2 Pr 3.28, 12 Sc 3.47-3.51
Sc: 0.0433 0.4606 0.7500  5 Sc 3.08-3.31
Sc: 0.2148 0.2987 0.7500  5 Sc 3.09-3.37
Sc: 0.2987 0.2148 0.2500  5 Sc 3.09-3.37
Sc: 0.4606 0.0433 0.2500  5 Sc 3.08-3.31
Sc: 0.5394 0.9567 0.7500  5 Sc 3.08-3.31
Sc: 0.7013 0.7852 0.7500  5 Sc 3.09-3.37
Sc: 0.7852 0.7013 0.2500  5 Sc 3.09-3.37
Sc: 0.9567 0.5394 0.2500  5 Sc 3.08-3.31

The calculation puts the offset from the most stable computed form at 29.1 meV per atom. The value obtained for the density of states at the Fermi level is 19.18 states/eV/cell. The energy relative to the elements is 67 meV per atom. Its crystal system is orthorhombic. Its total moment is 0.00 μB/atom.

---

# 2
Entry from Alexandria via LeMat-Bulk: an optimized crystal structure of AlAsS2N (PBE-GGA).

Cell: 4.8248 4.8248 3.6065 Å, 90.00 90.00 90.00°
With the nearest neighbours (Å) after each atom.
Positions (direct):
Al: 0.0000 0.0000 0.0000  8 S 3.01
As: 0.5000 0.5000 0.5000  2 N 1.80
S: 0.0000 0.5000 0.5000  2 As 2.41
S: 0.5000 0.0000 0.5000  2 As 2.41
N: 0.5000 0.5000 0.0000  2 As 1.80

The calculation puts the offset from the most stable computed form at 278.8 meV per atom. The value obtained for the density of states at the Fermi level is 2.79 states/eV/cell. Its formation energy from raw total energies is 0.704 eV per atom. Its crystal system is tetragonal. Its total moment is 0.00 μB/atom.

---

# 3
Entry from Alexandria via LeMat-Bulk: an optimized crystal structure of Ba2Tl2O5 (PBE-GGA).

Cell: 6.5853 6.5853 6.6030 Å, 110.98 110.98 40.24°
With the nearest neighbours (Å) after each atom.
Positions (direct):
Ba: 0.1119 0.1119 0.3101  4 O 2.68-2.76
Ba: 0.8881 0.8881 0.6899  4 O 2.68-2.76
Tl: 0.3603 0.3603 0.1433  5 O 2.14-2.34
Tl: 0.6397 0.6397 0.8567  5 O 2.14-2.34
O: 0.1590 0.1590 0.9337  3 Tl 2.31-2.34
O: 0.3476 0.3476 0.4573  1 Tl 2.14
O: 0.5000 0.5000 0.0000  2 Tl 2.26
O: 0.6524 0.6524 0.5427  1 Tl 2.14
O: 0.8410 0.8410 0.0663  3 Tl 2.31-2.34

The calculation puts the offset from the most stable computed form at 54.5 meV per atom. The value obtained for the density of states at the Fermi level is 0.51 states/eV/cell. Its formation energy from raw total energies is -1.519 eV per atom. Its crystal system is monoclinic. Its total moment is 0.00 μB/atom.

---

# 4
Entry from Alexandria via LeMat-Bulk: an optimized crystal structure of Co2PAu2 (PBE-GGA).

Cell: 5.6242 5.6242 4.5378 Å, 90.00 90.00 90.00°
With the nearest neighbours (Å) after each atom.
Positions (direct):
Co: 0.1485 0.3515 0.0000  2 P 2.15, 1 Co 2.36
Co: 0.3515 0.8515 0.0000  2 P 2.15, 1 Co 2.36
Co: 0.6485 0.1485 0.0000  2 P 2.15, 1 Co 2.36
Co: 0.8515 0.6485 0.0000  2 P 2.15, 1 Co 2.36
P: 0.0000 0.0000 0.0000  4 Co 2.15
P: 0.5000 0.5000 0.0000  4 Co 2.15
Au: 0.1726 0.6726 0.5000  6 Co 2.68-2.90, 5 Au 2.75-2.94
Au: 0.3274 0.1726 0.5000  6 Co 2.68-2.90, 5 Au 2.75-2.94
Au: 0.6726 0.8274 0.5000  6 Co 2.68-2.90, 5 Au 2.75-2.94
Au: 0.8274 0.3274 0.5000  6 Co 2.68-2.90, 5 Au 2.75-2.94

The value obtained for the density of states at the Fermi level is 9.73 states/eV/cell. The energy relative to the elements is 23 meV per atom. Its crystal system is tetragonal. Its total moment is 0.00 μB/atom.

---

# 5
Entry from Alexandria via LeMat-Bulk: an optimized crystal structure of Tb4HoEr15 (PBE-GGA).

Cell: 4.9644 4.9644 24.8115 Å, 90.00 90.00 90.00°
With the nearest neighbours (Å) after each atom.
Positions (direct):
Tb: 0.0000 0.0000 0.1001  12 Er 3.51
Tb: 0.0000 0.0000 0.3002  12 Er 3.51
Tb: 0.0000 0.0000 0.6998  12 Er 3.51
Tb: 0.0000 0.0000 0.8999  12 Er 3.51
Ho: 0.0000 0.0000 0.5000  12 Er 3.50-3.51
Er: 0.0000 0.5000 0.0000  8 Er 3.51, 4 Tb 3.51
Er: 0.0000 0.5000 0.2002  8 Er 3.51, 4 Tb 3.51
Er: 0.0000 0.5000 0.4004  2 Ho 3.50, 8 Er 3.50-3.51, 2 Tb 3.51
Er: 0.0000 0.5000 0.5996  2 Ho 3.50, 8 Er 3.50-3.51, 2 Tb 3.51
Er: 0.0000 0.5000 0.7998  8 Er 3.51, 4 Tb 3.51
Er: 0.5000 0.0000 0.0000  8 Er 3.51, 4 Tb 3.51
Er: 0.5000 0.0000 0.2002  8 Er 3.51, 4 Tb 3.51
Er: 0.5000 0.0000 0.4004  2 Ho 3.50, 8 Er 3.50-3.51, 2 Tb 3.51
Er: 0.5000 0.0000 0.5996  2 Ho 3.50, 8 Er 3.50-3.51, 2 Tb 3.51
Er: 0.5000 0.0000 0.7998  8 Er 3.51, 4 Tb 3.51
Er: 0.5000 0.5000 0.1000  8 Er 3.51, 4 Tb 3.51
Er: 0.5000 0.5000 0.3004  8 Er 3.51, 4 Tb 3.51
Er: 0.5000 0.5000 0.5000  8 Er 3.50, 4 Ho 3.51
Er: 0.5000 0.5000 0.6996  8 Er 3.51, 4 Tb 3.51
Er: 0.5000 0.5000 0.9000  8 Er 3.51, 4 Tb 3.51

The value obtained for the density of states at the Fermi level is 25.77 states/eV/cell. The energy relative to the elements is 21 meV per atom. Its crystal system is tetragonal. Its total moment is 0.00 μB/atom.

---

# 6
Entry from Alexandria via LeMat-Bulk: an optimized crystal structure of InSi2O (PBE-GGA).

Cell: 6.3460 6.3460 6.3460 Å, 90.00 90.00 90.00°
With the nearest neighbours (Å) after each atom.
Positions (direct):
In: 0.0000 0.0000 0.0000  8 Si 2.75
In: 0.0000 0.5000 0.5000  8 Si 2.75
In: 0.5000 0.0000 0.5000  8 Si 2.75
In: 0.5000 0.5000 0.0000  8 Si 2.75
Si: 0.2500 0.2500 0.2500  4 O 2.75, 4 In 2.75
Si: 0.2500 0.2500 0.7500  4 O 2.75, 4 In 2.75
Si: 0.2500 0.7500 0.2500  4 O 2.75, 4 In 2.75
Si: 0.2500 0.7500 0.7500  4 O 2.75, 4 In 2.75
Si: 0.7500 0.2500 0.2500  4 O 2.75, 4 In 2.75
Si: 0.7500 0.2500 0.7500  4 O 2.75, 4 In 2.75
Si: 0.7500 0.7500 0.2500  4 O 2.75, 4 In 2.75
Si: 0.7500 0.7500 0.7500  4 O 2.75, 4 In 2.75
O: 0.0000 0.0000 0.5000  8 Si 2.75
O: 0.0000 0.5000 0.0000  8 Si 2.75
O: 0.5000 0.0000 0.0000  8 Si 2.75
O: 0.5000 0.5000 0.5000  8 Si 2.75

The calculation puts the offset from the most stable computed form at 756.4 meV per atom. The value obtained for the density of states at the Fermi level is 15.25 states/eV/cell. Its formation energy from raw total energies is 0.595 eV per atom. Its crystal system is cubic. Its total moment is 0.00 μB/atom.